*i*
Entry from Alexandria via LeMat-Bulk: CoNiP2 after structural relaxation (PBE-GGA).

Unit cell a=5.676 b=5.676 c=5.676 alpha=90.00 beta=90.00 gamma=90.00
Space group Fm-3m (No. 225)
Inequivalent atoms, fractional coordinates:
1 Co 0.000 0.000 0.000 [4 per cell]
2 Ni 0.000 0.000 0.500 [4 per cell]
3 P 0.250 0.250 0.250 [8 per cell]

Values from the calculation:
- Mass density: 6.52 g cm⁻³



*ii*
Entry from Alexandria via LeMat-Bulk: CoNiP2 after structural relaxation (PBE-GGA).

Unit cell a=7.079 b=2.768 c=4.834 alpha=90.00 beta=103.03 gamma=90.00
Space group C2/m (No. 12)
Inequivalent atoms, fractional coordinates:
1 Co 0.000 0.000 0.000 [2 per cell]
2 Ni 0.000 0.500 0.500 [2 per cell]
3 P 0.246 0.500 0.242 [4 per cell]

Values from the calculation:
- Mass density: 6.46 g cm⁻³



The structure with the most favorable energy is *ii*; the runner-up is 0.142 eV/atom above it.